Compound: Ac4NdSm2
Source: the Alexandria database
Functional: PBE
Structure: relaxed

The value obtained for the total magnetization is 0.0 μB/f.u. The value obtained for the formation energy is 114 meV/atom. The volume comes out at 40.11 Å³ per atom.

The structure belongs to space group C2/m (No. 12); the cell edges are 10.209, 6.335 and 9.739 Å and the angles 90.00°, 116.92° and 90.00°. The asymmetric unit holds Ac at (0.138, 0.000, 0.415), Ac at (0.212, 0.500, 0.138), Nd at (0.000, 0.000, 0.000) and Sm at (0.066, 0.500, 0.708).